Record 1
HfMoOs2N, optimized geometry, DFT PBE; raw formation energy = 18.7 meV per atom; uncorrected energy = -10.30 eV per atom; DOS(E_F) = 0.857 states/eV/atom
1.0
4.071 0.000 0.000
0.000 4.071 0.000
0.000 0.000 4.298
Hf Mo Os N
1 1 2 1
direct
0.000 0.000 0.000
0.500 0.500 0.000
0.000 0.500 0.500
0.500 0.000 0.500
0.000 0.000 0.500

=====

Record 2
HfPa2MoN5, optimized geometry, DFT PBE; raw formation energy = -1298.2 meV per atom; uncorrected energy = -10.34 eV per atom; DOS(E_F) = 0.556 states/eV/atom
1.0
1.706 -6.684 0.000
1.706 6.684 0.000
0.000 0.000 9.964
Hf Pa Mo N
2 4 2 10
direct
0.041 0.959 0.500
0.959 0.041 0.000
0.355 0.645 0.320
0.387 0.613 0.711
0.613 0.387 0.211
0.645 0.355 0.820
0.281 0.719 0.029
0.719 0.281 0.529
0.011 0.989 0.801
0.121 0.879 0.038
0.187 0.813 0.385
0.222 0.778 0.680
0.438 0.562 0.106
0.562 0.438 0.606
0.778 0.222 0.180
0.813 0.187 0.885
0.879 0.121 0.538
0.989 0.011 0.301

=====

Record 3
HfMoS2N, optimized geometry, DFT PBE; excess energy over the best structure of this formula in the dataset = 0 meV/atom; raw formation energy = -8.2 meV per atom; uncorrected energy = -7.48 eV per atom; DOS(E_F) = 0.886 states/eV/atom
1.0
4.798 0.000 0.000
0.000 4.798 0.000
0.000 0.000 3.739
Hf Mo S N
1 1 2 1
direct
0.000 0.000 0.000
0.500 0.500 0.500
0.000 0.500 0.500
0.500 0.000 0.500
0.500 0.500 0.000

=====

Record 4
HfMoSN2, optimized geometry, DFT PBE; excess energy over the best structure of this formula in the dataset = 452 meV/atom; raw formation energy = 548.0 meV per atom; uncorrected energy = -7.76 eV per atom; DOS(E_F) = 0.772 states/eV/atom
1.0
4.097 0.000 0.000
0.000 4.097 0.000
0.000 0.000 5.049
Hf Mo S N
1 1 1 2
direct
0.000 0.000 0.000
0.500 0.500 0.500
0.000 0.000 0.500
0.000 0.500 0.000
0.500 0.000 0.000

=====

Record 5
HfMoS2N, optimized geometry, DFT PBE; excess energy over the best structure of this formula in the dataset = 272 meV/atom; raw formation energy = 264.2 meV per atom; uncorrected energy = -7.21 eV per atom; DOS(E_F) = 0.623 states/eV/atom
1.0
4.984 0.000 0.000
0.000 4.984 0.000
0.000 0.000 3.992
Hf Mo S N
1 1 2 1
direct
0.000 0.000 0.000
0.500 0.500 0.500
0.000 0.500 0.000
0.500 0.000 0.000
0.000 0.000 0.500

=====

Record 6
HfMoSN2, optimized geometry, DFT PBE; excess energy over the best structure of this formula in the dataset = 0 meV/atom; raw formation energy = 96.5 meV per atom; uncorrected energy = -8.22 eV per atom; DOS(E_F) = 0.743 states/eV/atom
1.0
3.897 0.000 0.000
0.000 3.897 0.000
0.000 0.000 4.761
Hf Mo S N
1 1 1 2
direct
0.000 0.000 0.000
0.500 0.500 0.500
0.500 0.500 0.000
0.000 0.500 0.500
0.500 0.000 0.500

=====

Look up the DOS(E_F) of the first one. 0.857 states/eV/atom